*a*
# TlOs2Pb

A relaxed TlOs2Pb crystal (PBE, the Alexandria database).

Calculated values
As for the size of the total moment: 0.0 μB per formula unit.

The structure in extended XYZ format:
```
4
Lattice="2.907 0.000 0.000 0.000 3.603 0.000 -1.386 0.000 8.493" Properties=species:S:1:pos:R:3 pbc="T T T"
Tl 0.000 0.000 0.000
Os 0.036 0.000 3.294
Os 1.488 1.801 2.171
Pb 1.503 1.801 5.393
```

***

*b*
# TlOs2Pb

A relaxed TlOs2Pb crystal (PBE, the Alexandria database).

Calculated values
As for the size of the total moment: 0.0 μB per formula unit.

The structure in extended XYZ format:
```
4
Lattice="1.571 0.907 8.831 -1.571 0.907 8.831 0.000 -1.814 8.831" Properties=species:S:1:pos:R:3 pbc="T T T"
Tl 0.000 0.000 0.000
Os 0.000 0.000 6.598
Os 0.000 0.000 19.896
Pb 0.000 0.000 13.247
```

***

*c*
# TlOs2Pb

A relaxed TlOs2Pb crystal (PBE, the Alexandria database).

Calculated values
As for the size of the total moment: 0.0 μB per formula unit.

The structure in extended XYZ format:
```
4
Lattice="-1.507 2.319 5.948 1.507 -2.319 5.948 1.507 2.319 -5.948" Properties=species:S:1:pos:R:3 pbc="T T T"
Tl 0.000 0.000 0.000
Os 1.507 0.000 3.702
Os 0.000 0.000 5.791
Pb 0.000 2.319 2.586
```

***

*d*
# TlOs2Pb

A relaxed TlOs2Pb crystal (PBE, the Alexandria database).

Calculated values
As for the size of the total moment: 0.0 μB per formula unit.

The structure in extended XYZ format:
```
4
Lattice="5.213 -1.507 0.000 5.213 1.507 0.000 -5.193 0.000 6.485" Properties=species:S:1:pos:R:3 pbc="T T T"
Tl 0.000 0.000 0.000
Os 0.495 0.000 4.156
Os 4.737 0.000 2.329
Pb -2.597 0.000 3.243
```

***

Stability, lowest: *b*